[1]
! LiTmAg2 (PBE-GGA, relaxed); values from VASP
! Calculated formation energy in eV per formula unit: -0.87
! SG: No. 225
! Total magnetization in μB per atom: 0.000
! DOS at the Fermi energy in states/eV per atom: 0.665
&SYSTEM
  ibrav = 0, nat = 4, ntyp = 3
/
ATOMIC_SPECIES
Li 6.94 Li.upf
Tm 168.93 Tm.upf
Ag 107.87 Ag.upf
CELL_PARAMETERS angstrom
-2.4189 -4.1970 0.3949
2.2202 -3.9227 1.8179
-1.2458 -1.6835 4.3859
ATOMIC_POSITIONS crystal
Li 0.5000 0.5000 0.5000
Tm 0.0000 0.0000 0.0000
Ag 0.2500 0.2500 0.2500
Ag 0.7500 0.7500 0.7500



[2]
! LiTmAg2 (PBE-GGA, relaxed); values from VASP
! Calculated formation energy in eV per formula unit: -0.93
! SG: No. 59
! Total magnetization in μB per atom: 0.000
! DOS at the Fermi energy in states/eV per atom: 0.582
&SYSTEM
  ibrav = 0, nat = 8, ntyp = 3
/
ATOMIC_SPECIES
Tm 168.93 Tm.upf
Ag 107.87 Ag.upf
Li 6.94 Li.upf
CELL_PARAMETERS angstrom
-1.0696 4.5319 -1.2733
-4.5695 -0.4134 2.3671
2.6301 2.1529 5.4530
ATOMIC_POSITIONS crystal
Tm 0.5000 0.6723 0.0000
Tm 0.0000 0.3277 0.5000
Ag 0.5000 0.1773 0.7533
Ag 0.0000 0.8227 0.7467
Ag 0.0000 0.8227 0.2533
Ag 0.5000 0.1773 0.2467
Li 0.0000 0.2640 0.0000
Li 0.5000 0.7360 0.5000



[3]
! LiTm4Ag5 (PBE-GGA, relaxed); values from VASP
! Calculated formation energy in eV per formula unit: -3.00
! SG: No. 123
! Total magnetization in μB per atom: 0.000
! DOS at the Fermi energy in states/eV per atom: 0.474
&SYSTEM
  ibrav = 0, nat = 10, ntyp = 3
/
ATOMIC_SPECIES
Ag 107.87 Ag.upf
Li 6.94 Li.upf
Tm 168.93 Tm.upf
CELL_PARAMETERS angstrom
-2.5005 2.4656 -0.3427
-0.8168 -1.2714 -3.1883
-11.6851 -10.8340 7.3136
ATOMIC_POSITIONS crystal
Ag 0.5000 0.5000 0.5000
Ag 0.5000 0.5000 0.9174
Ag 0.5000 0.5000 0.2910
Ag 0.5000 0.5000 0.7090
Ag 0.5000 0.5000 0.0826
Li 0.0000 0.0000 0.0000
Tm 0.0000 0.0000 0.1856
Tm 0.0000 0.0000 0.6047
Tm 0.0000 0.0000 0.8144
Tm 0.0000 0.0000 0.3953